1.
## BaIn2Pt2 (PBE-GGA)

Data for an optimized crystal structure of BaIn2Pt2.

Cell lengths 6.711, 6.711, 6.711 Å; angles 139.93, 139.93, 57.97 degrees
Fractional positions:
Pt (0.616, 0.616, 0.000)
In (0.750, 0.250, 0.500)
Pt (0.384, 0.384, 0.000)
In (0.250, 0.750, 0.500)
Ba (0.000, 0.000, 0.000)



2.
## MgZnCoHg (PBE-GGA)

Data for an optimized crystal structure of MgZnCoHg.

Cell lengths 4.484, 4.484, 4.484 Å; angles 60.00, 60.00, 60.00 degrees
Last column: magnetic moment on the atom in μB.
Fractional positions:
Mg (0.250, 0.250, 0.250)  0.00
Hg (0.500, 0.500, 0.500)  -0.01
Zn (0.000, 0.000, 0.000)  -0.02
Co (0.750, 0.750, 0.750)  0.71



3.
## AgOsS6 (PBE-GGA)

Data for an optimized crystal structure of AgOsS6.

Cell lengths 6.125, 6.125, 6.125 Å; angles 60.00, 60.00, 60.00 degrees
Fractional positions:
S (0.518, 0.518, 0.982)
Os (0.250, 0.250, 0.250)
S (0.982, 0.982, 0.518)
S (0.982, 0.518, 0.518)
S (0.518, 0.982, 0.982)
Ag (0.500, 0.500, 0.500)
S (0.982, 0.518, 0.982)
S (0.518, 0.982, 0.518)



4.
## U3FeCl2 (PBE-GGA)

Data for an optimized crystal structure of U3FeCl2.

Cell lengths 3.524, 3.524, 10.290 Å; angles 90.00, 90.00, 90.00 degrees
Last column: magnetic moment on the atom in μB.
Fractional positions:
Cl (0.000, 0.500, 0.614)  -0.02
U (0.500, 0.500, 0.000)  1.11
U (0.500, 0.000, 0.757)  2.71
Fe (0.000, 0.000, 0.000)  -0.38
U (0.000, 0.500, 0.243)  2.69
Cl (0.500, 0.000, 0.386)  -0.02



5.
## SmHfCu (PBE-GGA)

Data for an optimized crystal structure of SmHfCu.

Cell lengths 4.673, 4.673, 4.673 Å; angles 60.00, 60.00, 60.00 degrees
Fractional positions:
Cu (0.000, 0.000, 0.000)
Hf (0.250, 0.250, 0.250)
Sm (0.750, 0.750, 0.750)

Energy relative to the elements (eV/atom): 0.35



6.
## Lu2Ir2O5 (PBE-GGA)

Data for an optimized crystal structure of Lu2Ir2O5.

Cell lengths 8.979, 3.568, 3.568 Å; angles 90.00, 90.00, 90.00 degrees
Last column: magnetic moment on the atom in μB.
Fractional positions:
Lu (0.265, 0.500, 0.500)  0.01
Lu (0.735, 0.500, 0.500)  0.01
Ir (0.500, 0.000, 0.000)  0.10
O (0.869, 0.000, 0.500)  0.00
Ir (0.000, 0.000, 0.000)  0.31
O (0.131, 0.000, 0.500)  0.00
O (0.869, 0.500, 0.000)  0.04
O (0.500, 0.500, 0.500)  0.00
O (0.131, 0.500, 0.000)  0.04



7.
## Pr12InPt7 (PBE-GGA)

Data for an optimized crystal structure of Pr12InPt7.

Cell lengths 11.311, 11.311, 11.311 Å; angles 114.91, 114.91, 99.07 degrees
Fractional positions:
Pt (0.630, 0.130, 0.151)
Pt (0.979, 0.479, 0.849)
Pr (0.565, 0.430, 0.280)
In (0.000, 0.000, 0.000)
Pr (0.070, 0.935, 0.720)
Pr (0.935, 0.215, 0.865)
Pt (0.874, 0.626, 0.500)
Pt (0.870, 0.021, 0.500)
Pt (0.626, 0.126, 0.751)
Pt (0.126, 0.374, 0.500)
Pt (0.374, 0.874, 0.249)
Pr (0.675, 0.825, 0.500)
Pr (0.430, 0.150, 0.865)
Pr (0.350, 0.070, 0.135)
Pt (0.250, 0.250, 0.000)
Pr (0.364, 0.864, 0.500)
In (0.500, 0.500, 0.000)
Pr (0.136, 0.636, 0.500)
Pt (0.370, 0.870, 0.849)
Pr (0.864, 0.364, 0.500)
Pr (0.636, 0.136, 0.500)
Pr (0.785, 0.650, 0.720)
Pr (0.435, 0.570, 0.720)
Pt (0.750, 0.750, 0.000)
Pr (0.650, 0.930, 0.865)
Pr (0.175, 0.675, 0.850)
Pr (0.850, 0.715, 0.280)
Pr (0.325, 0.175, 0.500)
Pt (0.130, 0.979, 0.500)
Pt (0.521, 0.370, 0.500)
Pr (0.065, 0.785, 0.135)
Pr (0.570, 0.850, 0.135)
Pr (0.285, 0.565, 0.135)
Pt (0.021, 0.521, 0.151)
Pt (0.479, 0.630, 0.500)
Pr (0.715, 0.435, 0.865)
Pr (0.825, 0.325, 0.150)
Pr (0.215, 0.350, 0.280)
Pr (0.150, 0.285, 0.720)
Pr (0.930, 0.065, 0.280)



8.
## PmPaHg (PBE-GGA)

Data for an optimized crystal structure of PmPaHg.

Cell lengths 5.124, 5.124, 5.124 Å; angles 60.00, 60.00, 60.00 degrees
Last column: magnetic moment on the atom in μB.
Fractional positions:
Pa (0.250, 0.250, 0.250)  1.25
Pm (0.750, 0.750, 0.750)  0.32
Hg (0.000, 0.000, 0.000)  0.01

Energy relative to the elements (eV/atom): 0.44



Record order is preserved below.
Final energy: -4.57; -2.44; -4.27; -7.99; -5.78; -7.21; -5.99; -4.40 eV/atom